No. 1
! LiMgP2Cl, relaxed, DFT GGA-PBEsol; values from VASP
&SYSTEM
  ibrav = 0, nat = 5, ntyp = 4
/
ATOMIC_SPECIES
Mg 24.30 Mg.upf
Li 6.94 Li.upf
P 30.97 P.upf
Cl 35.45 Cl.upf
CELL_PARAMETERS angstrom
-0.1542 3.9909 1.3808
-2.2781 -1.2420 3.3355
4.3170 -0.7559 2.6670
ATOMIC_POSITIONS crystal
Mg 0.5000 0.5000 0.5000
Li 0.0000 0.0000 0.0000
P 0.5000 0.0000 0.0000
P 0.0000 0.5000 0.0000
Cl 0.0000 0.0000 0.5000
! Crystal system: tetragonal
! Total magnetic moment, μB per cell: 0.001
! Polymorph energy (0 for the lowest one), meV per atom: 19
! Symmetry: P4/mmm, No. 123
! Calculated density, g/cm3: 2.332
! Formation energy from raw total energies, eV/f.u.: 0.9

No. 2
! LiMgS2Cl, relaxed, DFT GGA-PBEsol; values from VASP
&SYSTEM
  ibrav = 0, nat = 5, ntyp = 4
/
ATOMIC_SPECIES
S 32.06 S.upf
Mg 24.30 Mg.upf
Li 6.94 Li.upf
Cl 35.45 Cl.upf
CELL_PARAMETERS angstrom
-2.6712 -2.1102 -2.5276
1.5562 -3.6774 1.4256
-3.4705 -0.0353 3.6973
ATOMIC_POSITIONS crystal
S 0.0000 0.5000 0.0000
S 0.5000 0.0000 0.0000
Mg 0.5000 0.5000 0.5000
Li 0.0000 0.0000 0.0000
Cl 0.0000 0.0000 0.5000
! Crystal system: tetragonal
! Total magnetic moment, μB per cell: 0.000
! Symmetry: P4/mmm, No. 123
! Calculated density, g/cm3: 2.383
! Formation energy from raw total energies, eV/f.u.: -1.9

Q: What is the formation energy from raw total energies in the second record?
A: -1.9 eV/f.u.

Q: Which of these has the lowest total magnetic moment?
A: LiMgS2Cl